Record 1
Below is crystalline ErTeAs at its relaxed geometry, with properties calculated at the PBEsol level.

Lattice parameters (Å, degrees): 7.366 3.990 9.695 90.00 90.00 90.00
Fractional coordinates of all 12 atoms:
Er1 0.233 0.250 0.159
Er2 0.267 0.750 0.659
Er3 0.733 0.250 0.341
Er4 0.767 0.750 0.841
Te1 0.085 0.250 0.853
Te2 0.415 0.750 0.353
Te3 0.585 0.250 0.647
Te4 0.915 0.750 0.147
As1 0.101 0.250 0.460
As2 0.399 0.750 0.960
As3 0.601 0.250 0.040
As4 0.899 0.750 0.540

Computed properties:
The value obtained for the energy relative to the elements, uncorrected is -3.59 eV per formula unit. For the density, the calculation gives 8.62 g cm⁻³.

Record 2
Below is crystalline EuAs3 at its relaxed geometry, with properties calculated at the PBEsol level.

Lattice parameters (Å, degrees): 5.919 5.919 5.563 106.56 106.56 78.26
Fractional coordinates of all 8 atoms:
Eu1 0.166 0.166 0.325
Eu2 0.834 0.834 0.675
As1 0.080 0.646 0.205
As2 0.354 0.920 0.795
As3 0.486 0.486 0.768
As4 0.514 0.514 0.232
As5 0.646 0.080 0.205
As6 0.920 0.354 0.795

Computed properties:
The calculation puts the calculated total energy at -7.142 eV per atom. For the density, the calculation gives 7.05 g cm⁻³.

Record 3
Below is crystalline EuFe2As2 at its relaxed geometry, with properties calculated at the PBEsol level.

Lattice parameters (Å, degrees): 5.893 5.893 5.893 141.01 141.01 56.33
Fractional coordinates of all 5 atoms:
Eu1 0.000 0.000 0.000
Fe1 0.250 0.750 0.500
Fe2 0.750 0.250 0.500
As1 0.362 0.362 0.000
As2 0.638 0.638 0.000

Computed properties:
The calculation puts the calculated total energy at -8.411 eV per atom. For the density, the calculation gives 8.54 g cm⁻³.

Record 4
Below is crystalline LiEuAsS3 at its relaxed geometry, with properties calculated at the PBEsol level.

Lattice parameters (Å, degrees): 5.543 12.959 6.958 90.00 103.75 90.00
Fractional coordinates of all 24 atoms:
Li1 0.224 0.210 0.429
Li2 0.224 0.290 0.929
Li3 0.776 0.710 0.071
Li4 0.776 0.790 0.571
Eu1 0.177 0.581 0.766
Eu2 0.177 0.919 0.266
Eu3 0.823 0.081 0.734
Eu4 0.823 0.419 0.234
As1 0.376 0.596 0.344
As2 0.376 0.904 0.844
As3 0.624 0.096 0.156
As4 0.624 0.404 0.656
S1 0.198 0.125 0.110
S2 0.198 0.375 0.610
S3 0.255 0.717 0.105
S4 0.255 0.783 0.605
S5 0.296 0.046 0.641
S6 0.296 0.454 0.141
S7 0.704 0.546 0.859
S8 0.704 0.954 0.359
S9 0.745 0.217 0.395
S10 0.745 0.283 0.895
S11 0.802 0.625 0.390
S12 0.802 0.875 0.890

Computed properties:
The value obtained for the energy relative to the elements, uncorrected is -6.91 eV per formula unit. For the density, the calculation gives 4.52 g cm⁻³.

Record 5
Below is crystalline EuMn2As2 at its relaxed geometry, with properties calculated at the PBEsol level.

Lattice parameters (Å, degrees): 3.928 3.928 6.959 90.00 90.00 120.00
Fractional coordinates of all 5 atoms:
Eu1 0.000 0.000 0.000
Mn1 0.333 0.667 0.614
Mn2 0.667 0.333 0.386
As1 0.333 0.667 0.274
As2 0.667 0.333 0.726

Computed properties:
The calculation puts the calculated total energy at -8.545 eV per atom. For the density, the calculation gives 7.35 g cm⁻³.

Record 6
Below is crystalline NaEuAsS4 at its relaxed geometry, with properties calculated at the PBEsol level.

Lattice parameters (Å, degrees): 9.823 5.907 5.907 110.69 90.00 90.00
Fractional coordinates of all 14 atoms:
Na1 0.250 0.189 0.811
Na2 0.750 0.811 0.189
Eu1 0.000 0.451 0.451
Eu2 0.500 0.451 0.451
As1 0.250 0.761 0.188
As2 0.750 0.188 0.761
S1 0.063 0.578 0.005
S2 0.250 0.161 0.284
S3 0.250 0.713 0.544
S4 0.437 0.578 0.005
S5 0.563 0.005 0.578
S6 0.750 0.284 0.161
S7 0.750 0.544 0.713
S8 0.937 0.005 0.578

Computed properties:
The value obtained for the energy relative to the elements, uncorrected is -6.78 eV per formula unit. For the density, the calculation gives 3.92 g cm⁻³.

Record 7
Below is crystalline EuNi5As3 at its relaxed geometry, with properties calculated at the PBEsol level.

Lattice parameters (Å, degrees): 6.290 6.290 11.662 90.00 90.00 145.93
Fractional coordinates of all 18 atoms:
Eu1 0.163 0.837 0.750
Eu2 0.837 0.163 0.250
Ni1 0.000 0.000 0.000
Ni2 0.000 0.000 0.500
Ni3 0.194 0.806 0.066
Ni4 0.194 0.806 0.434
Ni5 0.450 0.550 0.644
Ni6 0.450 0.550 0.856
Ni7 0.550 0.450 0.144
Ni8 0.550 0.450 0.356
Ni9 0.806 0.194 0.566
Ni10 0.806 0.194 0.934
As1 0.116 0.884 0.250
As2 0.380 0.620 0.045
As3 0.380 0.620 0.455
As4 0.620 0.380 0.545
As5 0.620 0.380 0.955
As6 0.884 0.116 0.750

Computed properties:
The calculation puts the calculated total energy at -6.891 eV per atom. For the density, the calculation gives 8.61 g cm⁻³.

Record 8
Below is crystalline EuAsPd at its relaxed geometry, with properties calculated at the PBEsol level.

Lattice parameters (Å, degrees): 4.260 4.260 8.105 90.00 90.00 120.00
Fractional coordinates of all 6 atoms:
Eu1 0.000 0.000 0.000
Eu2 0.000 0.000 0.500
As1 0.333 0.667 0.250
As2 0.667 0.333 0.750
Pd1 0.333 0.667 0.750
Pd2 0.667 0.333 0.250

Computed properties:
The calculation puts the calculated total energy at -8.272 eV per atom. For the density, the calculation gives 8.69 g cm⁻³.

Record 9
Below is crystalline EuAs2Pd2 at its relaxed geometry, with properties calculated at the PBEsol level.

Lattice parameters (Å, degrees): 5.958 5.958 5.958 138.04 138.04 60.85
Fractional coordinates of all 5 atoms:
Eu1 0.000 0.000 0.000
As1 0.379 0.379 0.000
As2 0.621 0.621 0.000
Pd1 0.250 0.750 0.500
Pd2 0.750 0.250 0.500

Computed properties:
The calculation puts the calculated total energy at -7.383 eV per atom. For the density, the calculation gives 9.14 g cm⁻³.

Record 10
Below is crystalline EuAsPt at its relaxed geometry, with properties calculated at the PBEsol level.

Lattice parameters (Å, degrees): 8.018 8.018 8.018 149.97 149.97 42.99
Fractional coordinates of all 6 atoms:
Eu1 0.000 0.000 0.000
Eu2 0.750 0.250 0.500
As1 0.169 0.669 0.500
As2 0.419 0.419 0.000
Pt1 0.333 0.833 0.500
Pt2 0.583 0.583 0.000

Computed properties:
The calculation puts the calculated total energy at -8.655 eV per atom. For the density, the calculation gives 10.88 g cm⁻³.

Record 11
Below is crystalline EuAs2Pt2 at its relaxed geometry, with properties calculated at the PBEsol level.

Lattice parameters (Å, degrees): 4.379 4.379 9.930 90.00 90.00 90.00
Fractional coordinates of all 10 atoms:
Eu1 0.250 0.250 0.250
Eu2 0.750 0.750 0.750
As1 0.250 0.250 0.633
As2 0.250 0.750 0.000
As3 0.750 0.250 0.000
As4 0.750 0.750 0.367
Pt1 0.250 0.250 0.877
Pt2 0.250 0.750 0.500
Pt3 0.750 0.250 0.500
Pt4 0.750 0.750 0.123

Computed properties:
The calculation puts the calculated total energy at -7.770 eV per atom. For the density, the calculation gives 12.07 g cm⁻³.

Record 12
Below is crystalline EuAs2Rh2 at its relaxed geometry, with properties calculated at the PBEsol level.

Lattice parameters (Å, degrees): 6.296 6.296 6.296 142.88 142.88 53.50
Fractional coordinates of all 5 atoms:
Eu1 0.000 0.000 0.000
As1 0.375 0.375 0.000
As2 0.625 0.625 0.000
Rh1 0.250 0.750 0.500
Rh2 0.750 0.250 0.500

Computed properties:
The calculation puts the calculated total energy at -8.267 eV per atom. For the density, the calculation gives 9.33 g cm⁻³.

Record 13
Below is crystalline EuAs2Ru2 at its relaxed geometry, with properties calculated at the PBEsol level.

Lattice parameters (Å, degrees): 5.970 5.970 5.970 139.29 139.29 58.93
Fractional coordinates of all 5 atoms:
Eu1 0.000 0.000 0.000
As1 0.368 0.368 0.000
As2 0.632 0.632 0.000
Ru1 0.250 0.750 0.500
Ru2 0.750 0.250 0.500

Computed properties:
The calculation puts the calculated total energy at -8.938 eV per atom. For the density, the calculation gives 9.33 g cm⁻³.

Record 14
Below is crystalline EuZn2As2 at its relaxed geometry, with properties calculated at the PBEsol level.

Lattice parameters (Å, degrees): 4.173 4.173 6.908 90.00 90.00 120.00
Fractional coordinates of all 5 atoms:
Eu1 0.000 0.000 0.000
Zn1 0.333 0.667 0.635
Zn2 0.667 0.333 0.365
As1 0.333 0.667 0.262
As2 0.667 0.333 0.738

Computed properties:
The calculation puts the calculated total energy at -5.469 eV per atom. For the density, the calculation gives 6.90 g cm⁻³.

Record 15
Below is crystalline FeAs2HF at its relaxed geometry, with properties calculated at the PBEsol level.

Lattice parameters (Å, degrees): 4.564 4.564 3.670 90.00 90.00 90.00
Fractional coordinates of all 5 atoms:
Fe1 0.000 0.000 0.000
As1 0.000 0.500 0.000
As2 0.500 0.000 0.000
H1 0.500 0.500 0.500
F1 0.000 0.000 0.500

Computed properties:
The calculation puts the calculated total energy at -4.689 eV per atom. For the density, the calculation gives 4.90 g cm⁻³.

Record 16
Below is crystalline MgFeAsF2 at its relaxed geometry, with properties calculated at the PBEsol level.

Lattice parameters (Å, degrees): 3.777 3.777 6.536 90.00 90.00 90.00
Fractional coordinates of all 5 atoms:
Mg1 0.000 0.000 0.000
Fe1 0.000 0.000 0.500
As1 0.500 0.500 0.000
F1 0.000 0.500 0.500
F2 0.500 0.000 0.500

Computed properties:
The value obtained for the energy relative to the elements, uncorrected is -4.43 eV per formula unit. For the density, the calculation gives 3.44 g cm⁻³.

Record 17
Below is crystalline FeAsOF2 at its relaxed geometry, with properties calculated at the PBEsol level.

Lattice parameters (Å, degrees): 4.197 4.197 3.938 90.00 90.00 90.00
Fractional coordinates of all 5 atoms:
Fe1 0.000 0.000 0.000
As1 0.500 0.500 0.500
O1 0.500 0.500 0.000
F1 0.000 0.500 0.500
F2 0.500 0.000 0.500

Computed properties:
The value obtained for the energy relative to the elements, uncorrected is -2.53 eV per formula unit. For the density, the calculation gives 4.42 g cm⁻³.

Record 18
Below is crystalline GaAs3F at its relaxed geometry, with properties calculated at the PBEsol level.

Lattice parameters (Å, degrees): 4.546 4.546 4.546 90.00 90.00 90.00
Fractional coordinates of all 5 atoms:
Ga1 0.000 0.000 0.000
As1 0.000 0.500 0.500
As2 0.500 0.000 0.500
As3 0.500 0.500 0.000
F1 0.500 0.500 0.500

Computed properties:
The value obtained for the energy relative to the elements, uncorrected is 1.39 eV per formula unit. For the density, the calculation gives 5.54 g cm⁻³.

Record 19
Below is crystalline GaAsF2 at its relaxed geometry, with properties calculated at the PBEsol level.

Lattice parameters (Å, degrees): 4.276 4.276 4.276 60.00 60.00 60.00
Fractional coordinates of all 4 atoms:
Ga1 0.000 0.000 0.000
As1 0.500 0.500 0.500
F1 0.250 0.250 0.250
F2 0.750 0.750 0.750

Computed properties:
Its offset from the most stable computed form is 368 meV per atom. The value obtained for the energy relative to the elements, uncorrected is -2.59 eV per formula unit. For the density, the calculation gives 5.49 g cm⁻³.

Record 20
Below is crystalline GaAsF2 at its relaxed geometry, with properties calculated at the PBEsol level.

Lattice parameters (Å, degrees): 5.497 5.497 5.497 102.63 102.63 124.25
Fractional coordinates of all 8 atoms:
Ga1 0.000 0.000 0.000
Ga2 0.750 0.250 0.500
As1 0.250 0.750 0.500
As2 0.500 0.500 0.000
F1 0.375 0.246 0.371
F2 0.754 0.125 0.129
F3 0.875 0.004 0.629
F4 0.996 0.625 0.871

Computed properties:
Its offset from the most stable computed form is 0 meV per atom. The value obtained for the energy relative to the elements, uncorrected is -4.06 eV per formula unit. For the density, the calculation gives 5.00 g cm⁻³.

N(E_F), record by record: 0.1; 7.0; 5.7; 12.2; 12.0; 13.6; 10.9; 9.1; 11.1; 9.8; 12.1; 3.3; 7.2; 9.4; 2.4; 4.6; 5.0; 2.7; 3.7; 1.1 states/eV/f.u.